Record 1
The following is a DFT calculation (PBEsol) of SrZnFe after structural relaxation.

Output
- SG: I4mm
- Calculated formation energy: 0.3752 eV per atom

Cell lengths 3.387, 3.387, 5.901 Å; angles 106.68, 106.68, 90.00 degrees
Site moments in Bohr magnetons follow the coordinates.
Fractional coordinates of all 3 atoms:
1 Zn 0.616 0.616 0.231  -0.07
2 Sr 0.335 0.335 0.670  -0.05
3 Fe 0.049 0.049 0.099  2.49

---

Record 2
The following is a DFT calculation (PBEsol) of SrZnFe2 after structural relaxation.

Output
- SG: F-43m
- Calculated formation energy: 0.6965 eV per atom

Cell lengths 4.620, 4.620, 4.620 Å; angles 60.00, 60.00, 60.00 degrees
Site moments in Bohr magnetons follow the coordinates.
Fractional coordinates of all 4 atoms:
1 Fe 0.750 0.750 0.750  2.64
2 Zn 0.250 0.250 0.250  -0.04
3 Fe 0.000 0.000 0.000  2.78
4 Sr 0.500 0.500 0.500  -0.04

---

Record 3
The following is a DFT calculation (PBEsol) of Sr2ZnFe after structural relaxation.

Output
- SG: P4mm
- Calculated formation energy: 0.3248 eV per atom

Cell lengths 3.498, 3.498, 8.686 Å; angles 90.00, 90.00, 90.00 degrees
Site moments in Bohr magnetons follow the coordinates.
Fractional coordinates of all 4 atoms:
1 Zn 0.000 0.000 0.581  -0.07
2 Fe 0.500 0.500 0.669  2.55
3 Sr 0.500 0.500 0.327  -0.01
4 Sr 0.000 0.000 0.923  -0.07

---

Record 4
The following is a DFT calculation (PBEsol) of SrZnFe2 after structural relaxation.

Output
- SG: Imm2
- Calculated formation energy: 0.5851 eV per atom

Cell lengths 2.971, 4.987, 5.576 Å; angles 116.56, 105.45, 90.00 degrees
Site moments in Bohr magnetons follow the coordinates.
Fractional coordinates of all 4 atoms:
1 Fe 0.017 0.017 0.034  2.23
2 Sr 0.492 0.492 0.984  -0.08
3 Fe 0.700 0.200 0.400  2.61
4 Zn 0.291 0.791 0.582  -0.04

---

Record 5
The following is a DFT calculation (PBEsol) of SrZrFe2 after structural relaxation.

Output
- SG: R-3m
- Calculated formation energy: 0.7347 eV per atom

Cell lengths 3.272, 3.272, 8.527 Å; angles 78.94, 78.94, 60.00 degrees
Site moments in Bohr magnetons follow the coordinates.
Fractional coordinates of all 4 atoms:
1 Fe 0.262 0.262 0.215  1.90
2 Sr 0.500 0.500 0.500  -0.11
3 Fe 0.738 0.738 0.785  1.90
4 Zr 0.000 0.000 0.000  -0.38

---

Record 6
The following is a DFT calculation (PBEsol) of SrZrFe after structural relaxation.

Output
- SG: P-6m2
- Calculated formation energy: 0.5564 eV per atom

Cell lengths 3.999, 3.999, 5.379 Å; angles 90.00, 90.00, 120.00 degrees
Fractional coordinates of all 3 atoms:
1 Sr 0.333 0.667 0.000
2 Zr 0.667 0.333 0.500
3 Fe 0.000 0.000 0.500

---

no.,magnetization (μB per cell)
1,2.243
2,5.231
3,2.233
4,4.666
5,2.977
6,0.000